VASP calculation (GGA-PBE) on a geometry-optimized MnSnPb2Cl8 structure.

Unit cell a=6.6677 b=6.4241 c=8.4653 alpha=90.00 beta=90.00 gamma=89.60
Site moments in Bohr magnetons follow the coordinates.
Element x y z (fractional)
Cl (0.6630, 0.7343, 0.5000)  0.01
Mn (0.0000, 0.0000, 0.0000)  4.42
Sn (0.0000, 0.0000, 0.5000)  0.01
Cl (0.8455, 0.2141, 0.2245)  0.03
Cl (0.1545, 0.7859, 0.7755)  0.03
Cl (0.3370, 0.2657, 0.5000)  0.01
Cl (0.1545, 0.7859, 0.2245)  0.03
Cl (0.3063, 0.2422, 0.0000)  0.02
Cl (0.8455, 0.2141, 0.7755)  0.03
Cl (0.6937, 0.7578, 0.0000)  0.02
Pb (0.5000, 0.5000, 0.7622)  0.01
Pb (0.5000, 0.5000, 0.2378)  0.01

Results
Calculated volume ... 362.60 Å³ per cell
Formation energy from raw total energies ... -12.9 eV per formula unit
Crystal system ... monoclinic
DOS(E_F) ... 0.000 states/eV/cell


VASP calculation (GGA-PBE) on a geometry-optimized Li2PmPd2Pb2 structure.

Unit cell a=4.5702 b=4.5702 c=8.5869 alpha=74.57 beta=74.57 gamma=60.00
Element x y z (fractional)
Pd (0.4422, 0.4422, 0.6733)
Pb (0.7430, 0.7430, 0.7711)
Pd (0.5578, 0.5578, 0.3267)
Li (0.1421, 0.1421, 0.5736)
Li (0.8579, 0.8579, 0.4264)
Pm (0.0000, 0.0000, 0.0000)
Pb (0.2570, 0.2570, 0.2289)

Results
Formation energy from the elements ... -0.43 eV per atom
Calculated volume ... 147.81 Å³ per cell
Crystal system ... trigonal
DOS(E_F) ... 4.219 states/eV/cell